(1)
{"formula": "NiC2", "functional": "PBE", "state": "relaxed", "spacegroup": "No. 2", "e_form_ev_per_atom": 0.95, "volume_a3_per_atom": 12.180, "dft_energy_ha_per_atom": -0.2619, "de_polymorph_ev_per_atom": 0.530, "crystal_system": "triclinic", "cell": [[-1.763, -1.223, 1.003], [2.179, -2.897, -0.445], [1.705, 0.674, 3.823]], "species": ["C", "C", "Ni"], "frac_coords": [[0.500, 0.500, 0.655], [0.500, 0.500, 0.345], [0.000, 0.500, 0.000]]}

***

(2)
{"formula": "CrFePt6", "functional": "PBE", "state": "relaxed", "spacegroup": "No. 123", "e_form_ev_per_atom": -0.23, "volume_a3_per_atom": 15.043, "dft_energy_ha_per_atom": -0.2582, "crystal_system": "tetragonal", "cell": [[-0.045, -2.788, -2.750], [3.754, 0.752, -0.824], [2.234, -5.301, 5.339]], "species": ["Pt", "Pt", "Fe", "Pt", "Pt", "Cr", "Pt", "Pt"], "frac_coords": [[0.000, 0.500, 0.751], [0.500, 0.000, 0.751], [0.000, 0.000, 0.000], [0.500, 0.000, 0.249], [0.500, 0.500, 0.000], [0.000, 0.000, 0.500], [0.000, 0.500, 0.249], [0.500, 0.500, 0.500]]}

***

(3)
{"formula": "LaTa2Rh", "functional": "PBE", "state": "relaxed", "spacegroup": "No. 123", "e_form_ev_per_atom": 0.14, "volume_a3_per_atom": 20.181, "dft_energy_ha_per_atom": -0.3255, "de_polymorph_ev_per_atom": 0.210, "crystal_system": "tetragonal", "cell": [[-1.509, 2.129, 1.405], [1.294, -0.768, 2.554], [6.816, 5.932, -1.668]], "species": ["La", "Rh", "Ta", "Ta"], "frac_coords": [[0.500, 0.500, 0.000], [0.500, 0.500, 0.500], [0.000, 0.000, 0.301], [0.000, 0.000, 0.699]]}